Record 1
A relaxed structure of La2AsW, computed with PBEsol.

Unit cell a=3.5740 b=3.5740 c=8.8195 alpha=78.31 beta=78.31 gamma=60.00
Positions (direct):
La  0.9869  0.9869  0.0394
La  0.7588  0.7588  0.7237
As  0.2379  0.2379  0.2863
W  0.5165  0.5165  0.4506

Calculated values
- Symmetry: R3m (160)

***

Record 2
A relaxed structure of LaYAs3, computed with PBEsol.

Unit cell a=5.3691 b=5.3691 c=5.3691 alpha=90.00 beta=90.00 gamma=90.00
Positions (direct):
Y  0.5000  0.5000  0.5000
As  0.0000  0.5000  0.0000
As  0.5000  0.0000  0.0000
As  0.0000  0.0000  0.5000
La  0.0000  0.0000  0.0000

Calculated values
- Symmetry: Pm-3m (221)

***

Record 3
A relaxed structure of LaY2As2, computed with PBEsol.

Unit cell a=3.8418 b=7.9199 c=7.9199 alpha=90.00 beta=90.00 gamma=90.00
Positions (direct):
As  0.0000  0.1434  0.3566
Y  0.5000  0.8444  0.3444
Y  0.5000  0.1556  0.6556
Y  0.5000  0.6556  0.8444
As  0.0000  0.3566  0.8566
As  0.0000  0.8566  0.6434
La  0.0000  0.0000  0.0000
La  0.0000  0.5000  0.5000
As  0.0000  0.6434  0.1434
Y  0.5000  0.3444  0.1556

Calculated values
- Symmetry: P4/mbm (127)

***

Record 4
A relaxed structure of LaY2As, computed with PBEsol.

Unit cell a=3.8786 b=3.8786 c=9.7684 alpha=78.55 beta=78.55 gamma=60.00
Positions (direct):
As  0.4965  0.4965  0.5104
La  0.2295  0.2295  0.3116
Y  0.7713  0.7713  0.6861
Y  0.0027  0.0027  0.9919

Calculated values
- Symmetry: R3m (160)

***

ΔH_f (0 K) for every record listed, in sequence, given in eV/atom: 0.11; 0.15; -1.21; -0.58.
Density of states at the Fermi level for every record listed, in sequence, given in states/eV/f.u.: 2.116; 5.300; 3.460; 5.630.